(1)
A relaxed Na2Ag4Hg5 crystal, computed with PBE.

Calculated values
**Raw total energy**: -0.1059 Ry per atom

Cell: 5.8214 7.2345 7.2798 Å, 77.45 66.43 66.28°
Positions (direct):
Na: 0.2880 0.7105 0.7134
Na: 0.7120 0.2895 0.2866
Ag: 0.2434 0.0866 0.4266
Ag: 0.7566 0.9134 0.5734
Ag: 0.7565 0.5763 0.9106
Ag: 0.2435 0.4237 0.0894
Hg: 0.2491 0.1778 0.8224
Hg: 0.7509 0.8222 0.1776
Hg: 0.0000 0.5000 0.5000
Hg: 0.7507 0.1778 0.8224
Hg: 0.2493 0.8222 0.1776

(2)
A relaxed Na8AgHg6 crystal, computed with PBE.

Calculated values
**Raw total energy**: -0.0851 Ry per atom

Cell: 8.8384 8.8384 8.1804 Å, 57.30 57.30 60.00°
Positions (direct):
Na: 0.5406 0.2242 0.3491
Na: 0.7758 0.1138 0.6509
Na: 0.1138 0.4594 0.6509
Na: 0.6660 0.6660 0.0021
Na: 0.3340 0.3340 0.9979
Na: 0.8862 0.5406 0.3491
Na: 0.2242 0.8862 0.3491
Na: 0.4594 0.7758 0.6509
Ag: 0.0000 0.0000 0.0000
Hg: 0.3689 0.0514 0.8472
Hg: 0.9486 0.2676 0.1528
Hg: 0.2676 0.6311 0.1528
Hg: 0.7324 0.3689 0.8472
Hg: 0.0514 0.7324 0.8472
Hg: 0.6311 0.9486 0.1528

(3)
A relaxed Na15AgHg4 crystal, computed with PBE.

Calculated values
**Raw total energy**: -0.0959 Ry per atom

Cell: 4.9432 4.9432 23.4789 Å, 90.00 90.00 90.00°
Positions (direct):
Na: 0.5000 0.5000 0.0000
Na: 0.5000 0.5000 0.1958
Na: 0.5000 0.5000 0.3988
Na: 0.5000 0.5000 0.6012
Na: 0.5000 0.5000 0.8042
Na: 0.5000 0.0000 0.0952
Na: 0.5000 0.0000 0.2968
Na: 0.5000 0.0000 0.5000
Na: 0.5000 0.0000 0.7032
Na: 0.5000 0.0000 0.9048
Na: 0.0000 0.5000 0.0952
Na: 0.0000 0.5000 0.2968
Na: 0.0000 0.5000 0.5000
Na: 0.0000 0.5000 0.7032
Na: 0.0000 0.5000 0.9048
Ag: 0.0000 0.0000 0.0000
Hg: 0.0000 0.0000 0.1975
Hg: 0.0000 0.0000 0.3986
Hg: 0.0000 0.0000 0.6014
Hg: 0.0000 0.0000 0.8025

(4)
A relaxed Na4AgHg2 crystal, computed with PBE.

Calculated values
**Offset from the most stable computed form**: 19 meV per atom

Cell: 8.1948 6.0891 8.7975 Å, 90.00 122.34 90.00°
Positions (direct):
Na: 0.4979 0.5000 0.2081
Na: 0.0335 0.7500 0.9479
Na: 0.9665 0.2500 0.0521
Na: 0.4979 0.0000 0.2081
Na: 0.9624 0.2500 0.4112
Na: 0.5021 0.0000 0.7919
Na: 0.5021 0.5000 0.7919
Na: 0.0376 0.7500 0.5888
Ag: 0.2362 0.7500 0.3679
Ag: 0.7638 0.2500 0.6321
Hg: 0.8155 0.7500 0.1594
Hg: 0.1845 0.2500 0.8406
Hg: 0.3443 0.2500 0.4232
Hg: 0.6557 0.7500 0.5768

| no. | Fermi-level density of states (states/eV/cell) |
| --- | --- |
| 1 | 4.56 |
| 2 | 6.82 |
| 3 | 5.21 |
| 4 | 4.57 |